Record 1
Computed, not measured: crystalline Ba2Ti2PbO7 at its relaxed geometry at the PBE level of DFT.

Cell lengths 4.0359, 4.0359, 11.0461 Å; angles 100.29, 100.29, 89.88 degrees
With the nearest neighbours (Å) after each atom.
Sites, in units of the cell vectors:
Ba  0.1864  0.1864  0.3651  9 O 2.76-2.91
Ba  0.8136  0.8136  0.6349  9 O 2.76-2.91
Ti  0.3901  0.3901  0.8131  6 O 1.92-2.12
Ti  0.6099  0.6099  0.1869  6 O 1.92-2.12
Pb  0.0000  0.0000  0.0000  12 O 2.82-2.86
O  0.0841  0.5887  0.1853  2 Ti 1.92-2.12
O  0.3200  0.3200  0.6288  1 Ti 1.97
O  0.4113  0.9159  0.8147  2 Ti 1.92-2.12
O  0.5000  0.5000  0.0000  2 Ti 2.00
O  0.5887  0.0841  0.1853  2 Ti 1.92-2.12
O  0.6800  0.6800  0.3712  1 Ti 1.97
O  0.9159  0.4113  0.8147  2 Ti 1.92-2.12

Its volume is 14.51 Å³ per atom. The value obtained for the uncorrected formation energy is -2666.2 meV/atom.

=====

Record 2
Computed, not measured: crystalline BaTiPb2O6 at its relaxed geometry at the PBE level of DFT.

Cell lengths 7.8434, 7.8434, 7.6086 Å; angles 114.43, 114.43, 79.86 degrees
With the nearest neighbours (Å) after each atom.
Sites, in units of the cell vectors:
Ba  0.1775  0.8225  0.7500  8 O 2.87-3.16
Ba  0.8225  0.1775  0.2500  8 O 2.87-3.16
Ti  0.1866  0.8134  0.2500  4 O 1.83
Ti  0.8134  0.1866  0.7500  4 O 1.83
Pb  0.2812  0.3486  0.8378  4 O 2.17-2.21
Pb  0.3486  0.2812  0.3378  4 O 2.17-2.21
Pb  0.6514  0.7188  0.6622  4 O 2.17-2.21
Pb  0.7188  0.6514  0.1622  4 O 2.17-2.21
O  0.0280  0.1810  0.7073  1 Ti 1.83
O  0.1810  0.0280  0.2073  1 Ti 1.83
O  0.1930  0.6294  0.0078  1 Ti 1.83
O  0.2247  0.4244  0.5693  2 Pb 2.17-2.21
O  0.3706  0.8070  0.4922  1 Ti 1.83
O  0.4244  0.2247  0.0693  2 Pb 2.17-2.21
O  0.5756  0.7753  0.9307  2 Pb 2.17-2.21
O  0.6294  0.1930  0.5078  1 Ti 1.83
O  0.7753  0.5756  0.4307  2 Pb 2.17-2.21
O  0.8070  0.3706  0.9922  1 Ti 1.83
O  0.8190  0.9720  0.7927  1 Ti 1.83
O  0.9720  0.8190  0.2927  1 Ti 1.83

Its volume is 19.40 Å³ per atom. The value obtained for the uncorrected formation energy is -1911.6 meV/atom.

=====

Record 3
Computed, not measured: crystalline Ba4Ti5PbO15 at its relaxed geometry at the PBE level of DFT.

Cell lengths 4.0235, 4.0235, 20.1042 Å; angles 90.00, 90.00, 90.00 degrees
With the nearest neighbours (Å) after each atom.
Sites, in units of the cell vectors:
Ba  0.0000  0.0000  0.1006  12 O 2.85
Ba  0.0000  0.0000  0.3019  12 O 2.85
Ba  0.0000  0.0000  0.6981  12 O 2.85
Ba  0.0000  0.0000  0.8994  12 O 2.85
Ti  0.5000  0.5000  0.0000  6 O 2.01-2.02
Ti  0.5000  0.5000  0.2012  6 O 2.01-2.02
Ti  0.5000  0.5000  0.4024  6 O 1.96-2.03
Ti  0.5000  0.5000  0.5976  6 O 1.96-2.03
Ti  0.5000  0.5000  0.7988  6 O 2.01-2.02
Pb  0.0000  0.0000  0.5000  12 O 2.81-2.85
O  0.0000  0.5000  0.0000  2 Ti 2.01
O  0.0000  0.5000  0.2012  2 Ti 2.01
O  0.0000  0.5000  0.4025  2 Ti 2.01
O  0.0000  0.5000  0.5975  2 Ti 2.01
O  0.0000  0.5000  0.7988  2 Ti 2.01
O  0.5000  0.0000  0.0000  2 Ti 2.01
O  0.5000  0.0000  0.2012  2 Ti 2.01
O  0.5000  0.0000  0.4025  2 Ti 2.01
O  0.5000  0.0000  0.5975  2 Ti 2.01
O  0.5000  0.0000  0.7988  2 Ti 2.01
O  0.5000  0.5000  0.1005  2 Ti 2.02
O  0.5000  0.5000  0.3016  2 Ti 2.02-2.03
O  0.5000  0.5000  0.5000  2 Ti 1.96
O  0.5000  0.5000  0.6984  2 Ti 2.02-2.03
O  0.5000  0.5000  0.8995  2 Ti 2.02

Its volume is 13.02 Å³ per atom. The value obtained for the uncorrected formation energy is -2899.8 meV/atom.

=====

Record 4
Computed, not measured: crystalline Ba3Ti2PbO9 at its relaxed geometry at the PBE level of DFT.

Cell lengths 5.8400, 5.8400, 7.1729 Å; angles 90.00, 90.00, 120.00 degrees
With the nearest neighbours (Å) after each atom.
Sites, in units of the cell vectors:
Ba  0.0000  0.0000  0.0000  12 O 2.90-2.92
Ba  0.3333  0.6667  0.6710  12 O 2.90-2.98
Ba  0.6667  0.3333  0.3290  12 O 2.90-2.98
Ti  0.3333  0.6667  0.1585  6 O 1.98-2.03
Ti  0.6667  0.3333  0.8415  6 O 1.98-2.03
Pb  0.0000  0.0000  0.5000  6 O 2.19
O  0.0000  0.5000  0.0000  2 Ti 2.03
O  0.1748  0.3496  0.3207  1 Ti 1.98, 1 Pb 2.19
O  0.1748  0.8252  0.3207  1 Ti 1.98, 1 Pb 2.19
O  0.3496  0.1748  0.6793  1 Ti 1.98, 1 Pb 2.19
O  0.5000  0.0000  0.0000  2 Ti 2.03
O  0.5000  0.5000  0.0000  2 Ti 2.03
O  0.6504  0.8252  0.3207  1 Ti 1.98, 1 Pb 2.19
O  0.8252  0.1748  0.6793  1 Ti 1.98, 1 Pb 2.19
O  0.8252  0.6504  0.6793  1 Ti 1.98, 1 Pb 2.19

Its volume is 14.12 Å³ per atom. The value obtained for the uncorrected formation energy is -2589.8 meV/atom.

=====

Record 5
Computed, not measured: crystalline Ba2TlPbO5 at its relaxed geometry at the PBE level of DFT.

Cell lengths 7.8257, 7.8257, 11.4905 Å; angles 90.00, 90.00, 152.34 degrees
With the nearest neighbours (Å) after each atom.
Sites, in units of the cell vectors:
Ba  0.1065  0.8935  0.5000  6 O 2.67-2.95
Ba  0.1370  0.8630  0.1069  8 O 2.75-3.02
Ba  0.8630  0.1370  0.6069  8 O 2.75-3.02
Ba  0.8935  0.1065  0.0000  6 O 2.67-2.95
Tl  0.4704  0.5296  0.2736  4 O 2.16-2.41
Tl  0.5296  0.4704  0.7736  4 O 2.16-2.41
Pb  0.2206  0.7794  0.8258  6 O 2.33-2.49
Pb  0.7794  0.2206  0.3258  6 O 2.33-2.49
O  0.0602  0.9398  0.8688  2 Tl 2.22
O  0.2793  0.7207  0.4594  2 Pb 2.42, 1 Ba 2.67
O  0.3133  0.6867  0.2017  2 Pb 2.41, 1 Tl 2.53
O  0.3738  0.6262  0.8122  1 Pb 2.33, 1 Tl 2.41
O  0.4948  0.5052  0.5914  1 Tl 2.16
O  0.5052  0.4948  0.0914  1 Tl 2.16
O  0.6262  0.3738  0.3122  1 Pb 2.33, 1 Tl 2.41
O  0.6867  0.3133  0.7017  2 Pb 2.41, 1 Tl 2.53
O  0.7207  0.2793  0.9594  2 Pb 2.42, 1 Ba 2.67
O  0.9398  0.0602  0.3688  2 Tl 2.22

Its volume is 18.15 Å³ per atom. The value obtained for the uncorrected formation energy is -1606.8 meV/atom.

=====

Record 6
Computed, not measured: crystalline Ba4TlPb3O12 at its relaxed geometry at the PBE level of DFT.

Cell lengths 7.5586, 7.5586, 7.5586 Å; angles 109.47, 109.47, 109.47 degrees
With the nearest neighbours (Å) after each atom.
Sites, in units of the cell vectors:
Ba  0.0000  0.0000  0.5000  12 O 3.09
Ba  0.0000  0.5000  0.0000  12 O 3.09
Ba  0.5000  0.0000  0.0000  12 O 3.09
Ba  0.5000  0.5000  0.5000  12 O 3.09
Tl  0.0000  0.0000  0.0000  6 O 2.22
Pb  0.0000  0.5000  0.5000  6 O 2.14-2.18
Pb  0.5000  0.0000  0.5000  6 O 2.14-2.18
Pb  0.5000  0.5000  0.0000  6 O 2.14-2.18
O  0.0000  0.2544  0.2544  1 Pb 2.14, 1 Tl 2.22
O  0.0000  0.7456  0.7456  1 Pb 2.14, 1 Tl 2.22
O  0.2500  0.5000  0.7500  2 Pb 2.18
O  0.2500  0.7500  0.5000  2 Pb 2.18
O  0.2544  0.0000  0.2544  1 Pb 2.14, 1 Tl 2.22
O  0.2544  0.2544  0.0000  1 Pb 2.14, 1 Tl 2.22
O  0.5000  0.2500  0.7500  2 Pb 2.18
O  0.5000  0.7500  0.2500  2 Pb 2.18
O  0.7456  0.0000  0.7456  1 Pb 2.14, 1 Tl 2.22
O  0.7456  0.7456  0.0000  1 Pb 2.14, 1 Tl 2.22
O  0.7500  0.2500  0.5000  2 Pb 2.18
O  0.7500  0.5000  0.2500  2 Pb 2.18

Its volume is 16.62 Å³ per atom. The value obtained for the uncorrected formation energy is -1559.6 meV/atom.

=====

Record 7
Computed, not measured: crystalline Ba3Tl2PbO6 at its relaxed geometry at the PBE level of DFT.

Cell lengths 6.2832, 6.2832, 7.1261 Å; angles 90.00, 90.00, 120.00 degrees
With the nearest neighbours (Å) after each atom.
Sites, in units of the cell vectors:
Ba  0.0000  0.0000  0.0000  6 O 2.87
Ba  0.3333  0.6667  0.6076  3 O 2.78
Ba  0.6667  0.3333  0.3924  3 O 2.78
Tl  0.3333  0.6667  0.1149  3 O 2.33
Tl  0.6667  0.3333  0.8851  3 O 2.33
Pb  0.0000  0.0000  0.5000  6 O 2.22
O  0.1644  0.3288  0.3158  1 Pb 2.22, 1 Tl 2.33
O  0.1644  0.8356  0.3158  1 Pb 2.22, 1 Tl 2.33
O  0.3288  0.1644  0.6842  1 Pb 2.22, 1 Tl 2.33
O  0.6712  0.8356  0.3158  1 Pb 2.22, 1 Tl 2.33
O  0.8356  0.1644  0.6842  1 Pb 2.22, 1 Tl 2.33
O  0.8356  0.6712  0.6842  1 Pb 2.22, 1 Tl 2.33

Its volume is 20.30 Å³ per atom. The value obtained for the uncorrected formation energy is -1679.3 meV/atom.

=====

Record 8
Computed, not measured: crystalline Ba2TlPbO6 at its relaxed geometry at the PBE level of DFT.

Cell lengths 4.3536, 4.3536, 8.7784 Å; angles 90.00, 90.00, 90.00 degrees
With the nearest neighbours (Å) after each atom.
Sites, in units of the cell vectors:
Ba  0.0000  0.0000  0.2473  12 O 3.07-3.11
Ba  0.0000  0.0000  0.7527  12 O 3.07-3.11
Tl  0.5000  0.5000  0.0000  6 O 2.18-2.25
Pb  0.5000  0.5000  0.5000  6 O 2.14-2.18
O  0.0000  0.5000  0.0000  2 Tl 2.18
O  0.0000  0.5000  0.5000  2 Pb 2.18
O  0.5000  0.0000  0.0000  2 Tl 2.18
O  0.5000  0.0000  0.5000  2 Pb 2.18
O  0.5000  0.5000  0.2562  1 Pb 2.14, 1 Tl 2.25
O  0.5000  0.5000  0.7438  1 Pb 2.14, 1 Tl 2.25

Its volume is 16.64 Å³ per atom. The value obtained for the uncorrected formation energy is -1464.3 meV/atom.

=====

Q: Which M_tot values were calculated for the entries above? A: 0.000, 0.000, 0.000, 0.000, 0.000, 0.000, 0.000, 0.002, in μB/atom.
Q: Which DFT total energy values were calculated for the entries above? A: -90.046, -132.199, -197.743, -108.737, -98.345, -111.873, -64.110, -54.312, in eV for the cell shown.